a:
VASP calculation (GGA-PBE) on a relaxed YIrRh3 crystal.

The structure in CIF format:
```
data_YIrRh3
_cell_length_a 4.754
_cell_length_b 4.754
_cell_length_c 4.754
_cell_angle_alpha 90.00
_cell_angle_beta 90.00
_cell_angle_gamma 90.00
_space_group_name_H-M_alt 'P m -3 m'
_space_group_IT_number 221
_space_group_name_Hall '-P 4 2 3'
loop_
_atom_site_label
_atom_site_type_symbol
_atom_site_fract_x
_atom_site_fract_y
_atom_site_fract_z
_atom_site_occupancy
Y1 Y 0.000 0.000 0.000 1
Ir1 Ir 0.500 0.500 0.500 1
Rh1 Rh 0.000 0.500 0.500 1
```

Results
Volume ... 21.5 Å³/atom
Magnetic moment ... 0.00 μB per cell
Fermi-level density of states ... 6.30 states/eV/f.u.

***

b:
VASP calculation (GGA-PBE) on a relaxed YIrRh3 crystal.

The structure in CIF format:
```
data_YIrRh3
_cell_length_a 4.783
_cell_length_b 4.783
_cell_length_c 4.783
_cell_angle_alpha 90.00
_cell_angle_beta 90.00
_cell_angle_gamma 90.00
_space_group_name_H-M_alt 'P m -3 m'
_space_group_IT_number 221
_space_group_name_Hall '-P 4 2 3'
loop_
_atom_site_label
_atom_site_type_symbol
_atom_site_fract_x
_atom_site_fract_y
_atom_site_fract_z
_atom_site_occupancy
Y1 Y 0.000 0.000 0.000 1
Ir1 Ir 0.500 0.500 0.500 1
Rh1 Rh 0.000 0.000 0.500 1
```

Results
Volume ... 21.9 Å³/atom
Magnetic moment ... 2.85 μB per cell
Fermi-level density of states ... 8.79 states/eV/f.u.

***

Computed relative energies in units of meV/atom: a 0; b 1202

***

a:
VASP calculation (GGA-PBE) on a relaxed ZnIrRh crystal.

The structure in CIF format:
```
data_ZnIrRh
_cell_length_a 5.877
_cell_length_b 5.877
_cell_length_c 5.877
_cell_angle_alpha 90.00
_cell_angle_beta 90.00
_cell_angle_gamma 90.00
_space_group_name_H-M_alt 'F -4 3 m'
_space_group_IT_number 216
_space_group_name_Hall 'F -4 2 3'
loop_
_atom_site_label
_atom_site_type_symbol
_atom_site_fract_x
_atom_site_fract_y
_atom_site_fract_z
_atom_site_occupancy
Zn1 Zn 0.000 0.000 0.000 1
Ir1 Ir 0.000 0.000 0.500 1
Rh1 Rh 0.250 0.250 0.750 1
```

Results
Volume ... 16.9 Å³/atom
Magnetic moment ... 0.00 μB per cell
Fermi-level density of states ... 3.60 states/eV/f.u.

***

b:
VASP calculation (GGA-PBE) on a relaxed ZnIrRh crystal.

The structure in CIF format:
```
data_ZnIrRh
_cell_length_a 2.7515
_cell_length_b 2.7515
_cell_length_c 6.5126
_cell_angle_alpha 90.00
_cell_angle_beta 90.00
_cell_angle_gamma 120.00
_space_group_name_H-M_alt 'P 3 m 1'
_space_group_IT_number 156
loop_
_space_group_symop_operation_xyz
'x,y,z'
'-y,x-y,z'
'-x+y,-x,z'
'-y,-x,z'
'-x+y,y,z'
'x,x-y,z'
loop_
_atom_site_label
_atom_site_type_symbol
_atom_site_fract_x
_atom_site_fract_y
_atom_site_fract_z
_atom_site_occupancy
Zn1 Zn 0.0000 0.0000 0.0000 1
Ir1 Ir 0.6667 0.3333 0.3355 1
Rh1 Rh 0.3333 0.6667 0.6706 1
```

Results
Volume ... 14.2 Å³/atom
Magnetic moment ... 0.00 μB per cell
Fermi-level density of states ... 2.53 states/eV/f.u.

***

Computed relative energies in units of meV/atom: a 420; b 0